P) # Sb3AsO

A relaxed structure of Sb3AsO (PBE, Alexandria via LeMat-Bulk).

Cell and atoms, written as CIF:
```
data_Sb3AsO
_chemical_formula_sum 'Sb3 As1 O1'
_space_group_name_H-M_alt 'P m -3 m'
_space_group_IT_number 221
_space_group_name_Hall '-P 4 2 3'
_cell_length_a 5.334
_cell_length_b 5.334
_cell_length_c 5.334
_cell_angle_alpha 90.00
_cell_angle_beta 90.00
_cell_angle_gamma 90.00
loop_
_atom_site_label
_atom_site_type_symbol
_atom_site_fract_x
_atom_site_fract_y
_atom_site_fract_z
Sb1 Sb 0.000 0.000 0.500
As1 As 0.000 0.000 0.000
O1 O 0.500 0.500 0.500
```

---

Q) # Sb3AsO

A relaxed structure of Sb3AsO (PBE, Alexandria via LeMat-Bulk).

Cell and atoms, written as CIF:
```
data_Sb3AsO
_chemical_formula_sum 'Sb3 As1 O1'
_space_group_name_H-M_alt 'P m -3 m'
_space_group_IT_number 221
_space_group_name_Hall '-P 4 2 3'
_cell_length_a 4.793
_cell_length_b 4.793
_cell_length_c 4.793
_cell_angle_alpha 90.00
_cell_angle_beta 90.00
_cell_angle_gamma 90.00
loop_
_atom_site_label
_atom_site_type_symbol
_atom_site_fract_x
_atom_site_fract_y
_atom_site_fract_z
Sb1 Sb 0.000 0.000 0.500
As1 As 0.500 0.500 0.500
O1 O 0.000 0.000 0.000
```

---

Computed stability ranking, most favorable first: Q), P)

---

P) # Sc2As2O

A relaxed structure of Sc2As2O (PBE, Alexandria via LeMat-Bulk).

Cell and atoms, written as CIF:
```
data_Sc2As2O
_chemical_formula_sum 'Sc4 As4 O2'
_space_group_name_H-M_alt 'P 4/m b m'
_space_group_IT_number 127
_space_group_name_Hall '-P 4 2ab'
_cell_length_a 6.214
_cell_length_b 6.214
_cell_length_c 4.389
_cell_angle_alpha 90.00
_cell_angle_beta 90.00
_cell_angle_gamma 90.00
loop_
_atom_site_label
_atom_site_type_symbol
_atom_site_fract_x
_atom_site_fract_y
_atom_site_fract_z
Sc1 Sc 0.186 0.314 0.000
As1 As 0.137 0.637 0.500
O1 O 0.000 0.000 0.000
```

---

Q) # Sc2As2O

A relaxed structure of Sc2As2O (PBE, Alexandria via LeMat-Bulk).

Cell and atoms, written as CIF:
```
data_Sc2As2O
_chemical_formula_sum 'Sc4 As4 O2'
_space_group_name_H-M_alt 'I 4/m m m'
_space_group_IT_number 139
_space_group_name_Hall '-I 4 2'
_cell_length_a 3.618
_cell_length_b 3.618
_cell_length_c 13.867
_cell_angle_alpha 90.00
_cell_angle_beta 90.00
_cell_angle_gamma 90.00
loop_
_atom_site_label
_atom_site_type_symbol
_atom_site_fract_x
_atom_site_fract_y
_atom_site_fract_z
Sc1 Sc 0.000 0.000 0.101
As1 As 0.000 0.500 0.250
O1 O 0.000 0.000 0.500
```

---

Computed stability ranking, most favorable first: P), Q)

---

P) # Sc3AsO

A relaxed structure of Sc3AsO (PBE, Alexandria via LeMat-Bulk).

Cell and atoms, written as CIF:
```
data_Sc3AsO
_chemical_formula_sum 'Sc12 As4 O4'
_space_group_name_H-M_alt 'A m a 2'
_space_group_IT_number 40
_cell_length_a 4.259
_cell_length_b 14.151
_cell_length_c 6.418
_cell_angle_alpha 90.00
_cell_angle_beta 90.00
_cell_angle_gamma 90.00
loop_
_space_group_symop_operation_xyz
'x,y,z'
'-x,-y,z'
'-x+1/2,y,z'
'x+1/2,-y,z'
'x,y+1/2,z+1/2'
'-x,-y+1/2,z+1/2'
'-x+1/2,y+1/2,z+1/2'
'x+1/2,-y+1/2,z+1/2'
loop_
_atom_site_label
_atom_site_type_symbol
_atom_site_fract_x
_atom_site_fract_y
_atom_site_fract_z
Sc1 Sc 0.250 0.072 0.000
Sc2 Sc 0.250 0.288 0.335
Sc3 Sc 0.250 0.398 0.845
As1 As 0.250 0.145 0.611
O1 O 0.250 0.418 0.509
```

---

Q) # Sc3AsO

A relaxed structure of Sc3AsO (PBE, Alexandria via LeMat-Bulk).

Cell and atoms, written as CIF:
```
data_Sc3AsO
_chemical_formula_sum 'Sc3 As1 O1'
_space_group_name_H-M_alt 'P m -3 m'
_space_group_IT_number 221
_space_group_name_Hall '-P 4 2 3'
_cell_length_a 4.343
_cell_length_b 4.343
_cell_length_c 4.343
_cell_angle_alpha 90.00
_cell_angle_beta 90.00
_cell_angle_gamma 90.00
loop_
_atom_site_label
_atom_site_type_symbol
_atom_site_fract_x
_atom_site_fract_y
_atom_site_fract_z
Sc1 Sc 0.000 0.000 0.500
As1 As 0.500 0.500 0.500
O1 O 0.000 0.000 0.000
```

---

Computed stability ranking, most favorable first: P), Q)

---

P) # Sc4As2O

A relaxed structure of Sc4As2O (PBE, Alexandria via LeMat-Bulk).

Cell and atoms, written as CIF:
```
data_Sc4As2O
_chemical_formula_sum 'Sc8 As4 O2'
_space_group_name_H-M_alt 'I 4/m m m'
_space_group_IT_number 139
_space_group_name_Hall '-I 4 2'
_cell_length_a 4.123
_cell_length_b 4.123
_cell_length_c 14.769
_cell_angle_alpha 90.00
_cell_angle_beta 90.00
_cell_angle_gamma 90.00
loop_
_atom_site_label
_atom_site_type_symbol
_atom_site_fract_x
_atom_site_fract_y
_atom_site_fract_z
Sc1 Sc 0.000 0.000 0.175
Sc2 Sc 0.000 0.500 0.000
As1 As 0.000 0.000 0.362
O1 O 0.000 0.000 0.000
```

---

Q) # Sc4As2O

A relaxed structure of Sc4As2O (PBE, Alexandria via LeMat-Bulk).

Cell and atoms, written as CIF:
```
data_Sc4As2O
_chemical_formula_sum 'Sc8 As4 O2'
_space_group_name_H-M_alt 'P b a m'
_space_group_IT_number 55
_cell_length_a 6.647
_cell_length_b 10.462
_cell_length_c 3.715
_cell_angle_alpha 90.00
_cell_angle_beta 90.00
_cell_angle_gamma 90.00
loop_
_space_group_symop_operation_xyz
'x,y,z'
'-x,-y,-z'
'-x,-y,z'
'x,y,-z'
'x+1/2,-y+1/2,-z'
'-x+1/2,y+1/2,z'
'-x+1/2,y+1/2,-z'
'x+1/2,-y+1/2,z'
loop_
_atom_site_label
_atom_site_type_symbol
_atom_site_fract_x
_atom_site_fract_y
_atom_site_fract_z
Sc1 Sc 0.113 0.190 0.000
Sc2 Sc 0.216 0.942 0.500
As1 As 0.088 0.675 0.500
O1 O 0.000 0.000 0.000
```

---

Computed stability ranking, most favorable first: P), Q)